BaHoCd PBE-GGA relaxed; total magnetic moment = 0.01 μB/f.u.; symmetry = No. 12; calculated density = 6.199 g cm⁻³; energy relative to the lowest polymorph listed for this composition = 170 meV/atom; D(E_F) = 4.4 states/eV/f.u.
1.0
3.8366 0.0000 0.0000
1.9183 5.9943 -1.0855
1.9183 -3.3664 10.2701
Cd Ho Ba
2 2 2
direct
0.7541 0.0787 0.4130
0.2459 0.9213 0.5870
0.9263 0.2180 0.9294
0.0737 0.7820 0.0706
0.8583 0.5717 0.7117
0.1417 0.4283 0.2883